(one)
A geometry-optimized ZrVTe2N structure, computed with GGA-PBE.

Properties
Total magnetic moment = 3.1 μB per formula unit

```
data_ZrVTe2N
_chemical_formula_sum 'Zr1 V1 Te2 N1'
_cell_length_a 5.741
_cell_length_b 5.741
_cell_length_c 3.978
_cell_angle_alpha 90.00
_cell_angle_beta 90.00
_cell_angle_gamma 90.00
_symmetry_space_group_name_H-M 'P 1'
_symmetry_Int_Tables_number 1
loop_
_symmetry_equiv_pos_as_xyz
'x,y,z'
loop_
_atom_site_label
_atom_site_type_symbol
_atom_site_fract_x
_atom_site_fract_y
_atom_site_fract_z
Zr1 Zr 0.000 0.000 0.000
V1 V 0.500 0.500 0.500
Te1 Te 0.000 0.500 0.000
Te2 Te 0.500 0.000 0.000
N1 N 0.000 0.000 0.500
```

---

(two)
A geometry-optimized ZrVTe2N structure, computed with GGA-PBE.

Properties
Total magnetic moment = 0.3 μB per formula unit

```
data_ZrVTe2N
_chemical_formula_sum 'Zr1 V1 Te2 N1'
_cell_length_a 5.377
_cell_length_b 5.377
_cell_length_c 3.643
_cell_angle_alpha 90.00
_cell_angle_beta 90.00
_cell_angle_gamma 90.00
_symmetry_space_group_name_H-M 'P 1'
_symmetry_Int_Tables_number 1
loop_
_symmetry_equiv_pos_as_xyz
'x,y,z'
loop_
_atom_site_label
_atom_site_type_symbol
_atom_site_fract_x
_atom_site_fract_y
_atom_site_fract_z
Zr1 Zr 0.000 0.000 0.000
V1 V 0.500 0.500 0.500
Te1 Te 0.000 0.500 0.500
Te2 Te 0.500 0.000 0.500
N1 N 0.500 0.500 0.000
```

---

Each structure's energy above the most stable one, in eV/atom: (one) 0.391; (two) 0.000.

---

(one)
A geometry-optimized TeW2N2 structure, computed with GGA-PBE.

Properties
Total magnetic moment = 0.0 μB per formula unit

```
data_TeW2N2
_chemical_formula_sum 'Te2 W4 N4'
_cell_length_a 7.088
_cell_length_b 7.088
_cell_length_c 2.797
_cell_angle_alpha 90.00
_cell_angle_beta 90.00
_cell_angle_gamma 90.00
_symmetry_space_group_name_H-M 'P 1'
_symmetry_Int_Tables_number 1
loop_
_symmetry_equiv_pos_as_xyz
'x,y,z'
loop_
_atom_site_label
_atom_site_type_symbol
_atom_site_fract_x
_atom_site_fract_y
_atom_site_fract_z
Te1 Te 0.000 0.000 0.000
Te2 Te 0.500 0.500 0.000
W1 W 0.126 0.374 0.500
W2 W 0.374 0.874 0.500
W3 W 0.626 0.126 0.500
W4 W 0.874 0.626 0.500
N1 N 0.115 0.615 0.000
N2 N 0.385 0.115 0.000
N3 N 0.615 0.885 0.000
N4 N 0.885 0.385 0.000
```

---

(two)
A geometry-optimized TeW2N2 structure, computed with GGA-PBE.

Properties
Total magnetic moment = 0.0 μB per formula unit

```
data_TeW2N2
_chemical_formula_sum 'Te1 W2 N2'
_cell_length_a 5.707
_cell_length_b 5.707
_cell_length_c 5.707
_cell_angle_alpha 138.97
_cell_angle_beta 138.97
_cell_angle_gamma 59.42
_symmetry_space_group_name_H-M 'P 1'
_symmetry_Int_Tables_number 1
loop_
_symmetry_equiv_pos_as_xyz
'x,y,z'
loop_
_atom_site_label
_atom_site_type_symbol
_atom_site_fract_x
_atom_site_fract_y
_atom_site_fract_z
Te1 Te 0.000 0.000 0.000
W1 W 0.250 0.750 0.500
W2 W 0.750 0.250 0.500
N1 N 0.307 0.307 0.000
N2 N 0.693 0.693 0.000
```

---

Each structure's energy above the most stable one, in eV/atom: (one) 0.675; (two) 0.000.

---

(one)
A geometry-optimized ZnTe2WN structure, computed with GGA-PBE.

Properties
Total magnetic moment = 0.0 μB per formula unit

```
data_ZnTe2WN
_chemical_formula_sum 'Zn1 Te2 W1 N1'
_cell_length_a 5.456
_cell_length_b 5.456
_cell_length_c 3.823
_cell_angle_alpha 90.00
_cell_angle_beta 90.00
_cell_angle_gamma 90.00
_symmetry_space_group_name_H-M 'P 1'
_symmetry_Int_Tables_number 1
loop_
_symmetry_equiv_pos_as_xyz
'x,y,z'
loop_
_atom_site_label
_atom_site_type_symbol
_atom_site_fract_x
_atom_site_fract_y
_atom_site_fract_z
Zn1 Zn 0.000 0.000 0.000
Te1 Te 0.000 0.500 0.500
Te2 Te 0.500 0.000 0.500
W1 W 0.500 0.500 0.500
N1 N 0.500 0.500 0.000
```

---

(two)
A geometry-optimized ZnTe2WN structure, computed with GGA-PBE.

Properties
Total magnetic moment = 1.2 μB per formula unit

```
data_ZnTe2WN
_chemical_formula_sum 'Zn1 Te2 W1 N1'
_cell_length_a 5.411
_cell_length_b 5.411
_cell_length_c 3.556
_cell_angle_alpha 90.00
_cell_angle_beta 90.00
_cell_angle_gamma 90.00
_symmetry_space_group_name_H-M 'P 1'
_symmetry_Int_Tables_number 1
loop_
_symmetry_equiv_pos_as_xyz
'x,y,z'
loop_
_atom_site_label
_atom_site_type_symbol
_atom_site_fract_x
_atom_site_fract_y
_atom_site_fract_z
Zn1 Zn 0.000 0.000 0.000
Te1 Te 0.000 0.500 0.000
Te2 Te 0.500 0.000 0.000
W1 W 0.500 0.500 0.500
N1 N 0.000 0.000 0.500
```

---

Each structure's energy above the most stable one, in eV/atom: (one) 0.000; (two) 1.092.

---

(one)
A geometry-optimized Y2TeN structure, computed with GGA-PBE.

Properties
Total magnetic moment = 0.0 μB per formula unit

```
data_Y2TeN
_chemical_formula_sum 'Y8 Te4 N4'
_cell_length_a 8.056
_cell_length_b 6.959
_cell_length_c 6.716
_cell_angle_alpha 90.00
_cell_angle_beta 91.91
_cell_angle_gamma 90.00
_symmetry_space_group_name_H-M 'P 1'
_symmetry_Int_Tables_number 1
loop_
_symmetry_equiv_pos_as_xyz
'x,y,z'
loop_
_atom_site_label
_atom_site_type_symbol
_atom_site_fract_x
_atom_site_fract_y
_atom_site_fract_z
Y1 Y 0.084 0.166 0.361
Y2 Y 0.084 0.334 0.861
Y3 Y 0.285 0.678 0.547
Y4 Y 0.285 0.822 0.047
Y5 Y 0.715 0.178 0.953
Y6 Y 0.715 0.322 0.453
Y7 Y 0.916 0.666 0.139
Y8 Y 0.916 0.834 0.639
Te1 Te 0.374 0.101 0.706
Te2 Te 0.374 0.399 0.206
Te3 Te 0.626 0.601 0.794
Te4 Te 0.626 0.899 0.294
N1 N 0.106 0.666 0.844
N2 N 0.106 0.834 0.344
N3 N 0.894 0.166 0.656
N4 N 0.894 0.334 0.156
```

---

(two)
A geometry-optimized Y2TeN structure, computed with GGA-PBE.

Properties
Total magnetic moment = 0.0 μB per formula unit

```
data_Y2TeN
_chemical_formula_sum 'Y2 Te1 N1'
_cell_length_a 7.255
_cell_length_b 7.255
_cell_length_c 7.255
_cell_angle_alpha 30.06
_cell_angle_beta 30.06
_cell_angle_gamma 30.06
_symmetry_space_group_name_H-M 'P 1'
_symmetry_Int_Tables_number 1
loop_
_symmetry_equiv_pos_as_xyz
'x,y,z'
loop_
_atom_site_label
_atom_site_type_symbol
_atom_site_fract_x
_atom_site_fract_y
_atom_site_fract_z
Y1 Y 0.228 0.228 0.228
Y2 Y 0.772 0.772 0.772
Te1 Te 0.000 0.000 0.000
N1 N 0.500 0.500 0.500
```

---

Each structure's energy above the most stable one, in eV/atom: (one) 0.024; (two) 0.000.

---

(one)
A geometry-optimized Y2TeN structure, computed with GGA-PBE.

Properties
Total magnetic moment = 0.0 μB per formula unit

```
data_Y2TeN
_chemical_formula_sum 'Y4 Te2 N2'
_cell_length_a 6.310
_cell_length_b 6.310
_cell_length_c 6.310
_cell_angle_alpha 112.64
_cell_angle_beta 112.64
_cell_angle_gamma 103.30
_symmetry_space_group_name_H-M 'P 1'
_symmetry_Int_Tables_number 1
loop_
_symmetry_equiv_pos_as_xyz
'x,y,z'
loop_
_atom_site_label
_atom_site_type_symbol
_atom_site_fract_x
_atom_site_fract_y
_atom_site_fract_z
Y1 Y 0.021 0.625 0.896
Y2 Y 0.375 0.271 0.396
Y3 Y 0.729 0.125 0.104
Y4 Y 0.875 0.979 0.604
Te1 Te 0.250 0.750 0.500
Te2 Te 0.500 0.500 0.000
N1 N 0.000 0.000 0.000
N2 N 0.750 0.250 0.500
```

---

(two)
A geometry-optimized Y2TeN structure, computed with GGA-PBE.

Properties
Total magnetic moment = 0.7 μB per formula unit

```
data_Y2TeN
_chemical_formula_sum 'Y2 Te1 N1'
_cell_length_a 4.942
_cell_length_b 4.942
_cell_length_c 4.942
_cell_angle_alpha 60.00
_cell_angle_beta 60.00
_cell_angle_gamma 60.00
_symmetry_space_group_name_H-M 'P 1'
_symmetry_Int_Tables_number 1
loop_
_symmetry_equiv_pos_as_xyz
'x,y,z'
loop_
_atom_site_label
_atom_site_type_symbol
_atom_site_fract_x
_atom_site_fract_y
_atom_site_fract_z
Y1 Y 0.250 0.250 0.250
Y2 Y 0.750 0.750 0.750
Te1 Te 0.000 0.000 0.000
N1 N 0.500 0.500 0.500
```

---

Each structure's energy above the most stable one, in eV/atom: (one) 0.000; (two) 0.927.

---

(one)
A geometry-optimized Y2Te2N structure, computed with GGA-PBE.

Properties
Total magnetic moment = 0.7 μB per formula unit

```
data_Y2Te2N
_chemical_formula_sum 'Y2 Te2 N1'
_cell_length_a 5.747
_cell_length_b 5.747
_cell_length_c 5.747
_cell_angle_alpha 118.16
_cell_angle_beta 118.16
_cell_angle_gamma 93.22
_symmetry_space_group_name_H-M 'P 1'
_symmetry_Int_Tables_number 1
loop_
_symmetry_equiv_pos_as_xyz
'x,y,z'
loop_
_atom_site_label
_atom_site_type_symbol
_atom_site_fract_x
_atom_site_fract_y
_atom_site_fract_z
Y1 Y 0.250 0.750 0.500
Y2 Y 0.750 0.250 0.500
Te1 Te 0.204 0.204 0.000
Te2 Te 0.796 0.796 0.000
N1 N 0.500 0.500 0.000
```

---

(two)
A geometry-optimized Y2Te2N structure, computed with GGA-PBE.

Properties
Total magnetic moment = 1.3 μB per formula unit

```
data_Y2Te2N
_chemical_formula_sum 'Y4 Te4 N2'
_cell_length_a 8.212
_cell_length_b 8.212
_cell_length_c 3.923
_cell_angle_alpha 90.00
_cell_angle_beta 90.00
_cell_angle_gamma 90.00
_symmetry_space_group_name_H-M 'P 1'
_symmetry_Int_Tables_number 1
loop_
_symmetry_equiv_pos_as_xyz
'x,y,z'
loop_
_atom_site_label
_atom_site_type_symbol
_atom_site_fract_x
_atom_site_fract_y
_atom_site_fract_z
Y1 Y 0.154 0.346 0.000
Y2 Y 0.346 0.846 0.000
Y3 Y 0.654 0.154 0.000
Y4 Y 0.846 0.654 0.000
Te1 Te 0.147 0.647 0.500
Te2 Te 0.353 0.147 0.500
Te3 Te 0.647 0.853 0.500
Te4 Te 0.853 0.353 0.500
N1 N 0.000 0.000 0.500
N2 N 0.500 0.500 0.500
```

---

Each structure's energy above the most stable one, in eV/atom: (one) 0.044; (two) 0.000.